Density functional theory data (PBE) for an optimized crystal structure of LaMnCo2H8.

N(E_F) = 0.367 states/eV/atom
DFT total energy = -4.796 eV per atom

a b c (Å): 6.0953 6.0953 6.0953
angles (deg): 43.30 43.30 43.30
Positions (direct):
1 La 0.0000 0.0000 0.0000
2 Mn 0.5000 0.5000 0.5000
3 Co 0.1959 0.1959 0.1959
4 Co 0.8041 0.8041 0.8041
5 H 0.1203 0.8384 0.4069
6 H 0.1616 0.5931 0.8797
7 H 0.2956 0.2956 0.2956
8 H 0.4069 0.1203 0.8384
9 H 0.5931 0.8797 0.1616
10 H 0.7044 0.7044 0.7044
11 H 0.8384 0.4069 0.1203
12 H 0.8797 0.1616 0.5931

---

Density functional theory data (PBE) for an optimized crystal structure of NaLaCoH6.

N(E_F) = 0.319 states/eV/atom
DFT total energy = -4.080 eV per atom

a b c (Å): 4.8241 4.8241 4.2806
angles (deg): 90.00 90.00 120.00
Positions (direct):
1 Na 0.0000 0.0000 0.0000
2 La 0.3333 0.6667 0.4911
3 Co 0.6667 0.3333 0.7831
4 H 0.3566 0.1783 0.5644
5 H 0.5034 0.0068 0.9844
6 H 0.5034 0.4966 0.9844
7 H 0.8217 0.1783 0.5644
8 H 0.8217 0.6434 0.5644
9 H 0.9932 0.4966 0.9844

---

Density functional theory data (PBE) for an optimized crystal structure of LaCoNiH6.

N(E_F) = 0.602 states/eV/atom
DFT total energy = -4.596 eV per atom

a b c (Å): 4.5003 4.5003 4.3097
angles (deg): 90.00 90.00 120.00
Positions (direct):
1 La 0.0000 0.0000 0.0000
2 Co 0.6667 0.3333 0.5000
3 Ni 0.3333 0.6667 0.5000
4 H 0.5045 0.0089 0.2643
5 H 0.5045 0.0089 0.7357
6 H 0.5045 0.4955 0.2643
7 H 0.5045 0.4955 0.7357
8 H 0.9911 0.4955 0.2643
9 H 0.9911 0.4955 0.7357

---

Density functional theory data (PBE) for an optimized crystal structure of La2CoNiH6.

N(E_F) = 0.457 states/eV/atom
DFT total energy = -4.726 eV per atom

a b c (Å): 5.1893 5.1893 5.1542
angles (deg): 119.04 119.04 91.49
Positions (direct):
1 La 0.2500 0.7500 0.0000
2 La 0.7500 0.2500 0.0000
3 Co 0.0000 0.0000 0.5000
4 Ni 0.5000 0.5000 0.5000
5 H 0.2359 0.7641 0.5000
6 H 0.2366 0.2366 0.9729
7 H 0.2435 0.2435 0.5003
8 H 0.7565 0.7565 0.4997
9 H 0.7634 0.7634 0.0271
10 H 0.7641 0.2359 0.5000

---

Density functional theory data (PBE) for an optimized crystal structure of LaCoNi2H8.

N(E_F) = 0.406 states/eV/atom
DFT total energy = -4.429 eV per atom

a b c (Å): 6.0294 6.0294 6.0294
angles (deg): 43.24 43.24 43.24
Positions (direct):
1 La 0.0000 0.0000 0.0000
2 Co 0.5000 0.5000 0.5000
3 Ni 0.2043 0.2043 0.2043
4 Ni 0.7957 0.7957 0.7957
5 H 0.1564 0.7892 0.4146
6 H 0.2108 0.5854 0.8436
7 H 0.3026 0.3026 0.3026
8 H 0.4146 0.1564 0.7892
9 H 0.5854 0.8436 0.2108
10 H 0.6974 0.6974 0.6974
11 H 0.7892 0.4146 0.1564
12 H 0.8436 0.2108 0.5854

---

Density functional theory data (PBE) for an optimized crystal structure of LaCo2NiH8.

N(E_F) = 0.154 states/eV/atom
DFT total energy = -4.557 eV per atom

a b c (Å): 6.0365 6.0365 6.0365
angles (deg): 43.23 43.23 43.23
Positions (direct):
1 La 0.0000 0.0000 0.0000
2 Co 0.1976 0.1976 0.1976
3 Co 0.8024 0.8024 0.8024
4 Ni 0.5000 0.5000 0.5000
5 H 0.1395 0.8233 0.4104
6 H 0.1767 0.5896 0.8605
7 H 0.2967 0.2967 0.2967
8 H 0.4104 0.1395 0.8233
9 H 0.5896 0.8605 0.1767
10 H 0.7033 0.7033 0.7033
11 H 0.8233 0.4104 0.1395
12 H 0.8605 0.1767 0.5896

---

Density functional theory data (PBE) for an optimized crystal structure of La2PaCo3H12.

N(E_F) = 0.653 states/eV/atom
DFT total energy = -4.744 eV per atom

a b c (Å): 6.0256 6.0256 6.0256
angles (deg): 63.52 63.52 63.52
Positions (direct):
1 La 0.1138 0.1138 0.1138
2 La 0.8862 0.8862 0.8862
3 Pa 0.5000 0.5000 0.5000
4 Co 0.0000 0.5000 0.5000
5 Co 0.5000 0.0000 0.5000
6 Co 0.5000 0.5000 0.0000
7 H 0.0716 0.6310 0.6310
8 H 0.2263 0.2263 0.6099
9 H 0.2263 0.6099 0.2263
10 H 0.3690 0.3690 0.9284
11 H 0.3690 0.9284 0.3690
12 H 0.3901 0.7737 0.7737
13 H 0.6099 0.2263 0.2263
14 H 0.6310 0.0716 0.6310
15 H 0.6310 0.6310 0.0716
16 H 0.7737 0.3901 0.7737
17 H 0.7737 0.7737 0.3901
18 H 0.9284 0.3690 0.3690

---

Density functional theory data (PBE) for an optimized crystal structure of La2CoHPb.

N(E_F) = 0.814 states/eV/atom
DFT total energy = -5.036 eV per atom

a b c (Å): 5.2484 5.2484 4.0574
angles (deg): 90.00 90.00 90.00
Positions (direct):
1 La 0.0000 0.5000 0.0000
2 La 0.5000 0.0000 0.0000
3 Co 0.0000 0.0000 0.5000
4 H 0.0000 0.0000 0.0000
5 Pb 0.5000 0.5000 0.5000

---

Question: Among the records above, which one has the highest N(E_F)?
Answer: La2CoHPb